Entry from the Alexandria database: CsInS2 after structural relaxation (GGA-PBEsol).

Unit cell a=7.0527 b=7.0527 c=6.4872 alpha=107.16 beta=107.16 gamma=106.62
Sites, in units of the cell vectors:
Cs  0.1342  0.8658  0.7500
Cs  0.8658  0.1342  0.2500
In  0.4879  0.5121  0.2500
In  0.5121  0.4879  0.7500
S  0.2004  0.4225  0.8658
S  0.4225  0.2004  0.3658
S  0.5775  0.7996  0.6342
S  0.7996  0.5775  0.1342

- Final energy: -4.105 eV per atom

Entry from the Alexandria database: CsInSbTe2 after structural relaxation (GGA-PBEsol).

Unit cell a=5.8404 b=5.8404 c=5.5508 alpha=90.00 beta=90.00 gamma=90.00
Sites, in units of the cell vectors:
Cs  0.0000  0.0000  0.0000
In  0.5000  0.5000  0.5000
Sb  0.5000  0.5000  0.0000
Te  0.0000  0.5000  0.5000
Te  0.5000  0.0000  0.5000

- Final energy: -3.139 eV per atom

Entry from the Alexandria database: CsSc2In after structural relaxation (GGA-PBEsol).

Unit cell a=11.5748 b=11.5748 c=11.5748 alpha=16.98 beta=16.98 gamma=16.98
Sites, in units of the cell vectors:
Cs  0.0000  0.0000  0.0000
Sc  0.0996  0.0996  0.0996
Sc  0.9004  0.9004  0.9004
In  0.5000  0.5000  0.5000

- DFT formation energy: 0.214 eV/atom

Density / Mg/m³: 3.85 5.48 4.86